1.
Material: CeSc2PaSb4
Method: DFT, PBE
State: optimized geometry

Cell: 7.3982 4.3117 7.4862 Å, 90.00 109.59 90.00°
Space group P2/m (No. 10)
Symmetry-distinct sites (fractional):
Ce: 0.0000 0.0000 0.0000 [1 per cell]
Sc: 0.5000 0.0000 0.5000 [1 per cell]
Sc: 0.5000 0.5000 0.0000 [1 per cell]
Pa: 0.0000 0.5000 0.5000 [1 per cell]
Sb: 0.2682 0.0000 0.7527 [2 per cell]
Sb: 0.2696 0.5000 0.2604 [2 per cell]

2.
Material: CePaSbSe
Method: DFT, PBE
State: optimized geometry

Cell: 5.0631 5.0631 32.2150 Å, 90.00 90.00 120.00°
Space group R-3m (No. 166, hexagonal axes)
Symmetry-distinct sites (fractional):
Ce: 0.0000 0.0000 0.2043 [6 per cell]
Pa: 0.0000 0.0000 0.3842 [6 per cell]
Sb: 0.0000 0.0000 0.0998 [6 per cell]
Se: 0.0000 0.0000 0.2963 [6 per cell]

3.
Material: CeSm2PaSb5
Method: DFT, PBE
State: optimized geometry

Cell: 5.4812 5.4812 11.7176 Å, 90.00 90.00 90.00°
Space group P4/mmm (No. 123)
Symmetry-distinct sites (fractional):
Ce: 0.0000 0.0000 0.0000 [1 per cell]
Sm: 0.5000 0.5000 0.2800 [2 per cell]
Pa: 0.0000 0.0000 0.5000 [1 per cell]
Sb: 0.0000 0.0000 0.2488 [2 per cell]
Sb: 0.0000 0.5000 0.5000 [2 per cell]
Sb: 0.5000 0.5000 0.0000 [1 per cell]

4.
Material: CeSmPa2Sb4
Method: DFT, PBE
State: optimized geometry

Cell: 7.6526 4.4169 7.6989 Å, 90.00 109.34 90.00°
Space group P2/m (No. 10)
Symmetry-distinct sites (fractional):
Ce: 0.0000 0.0000 0.0000 [1 per cell]
Sm: 0.5000 0.5000 0.0000 [1 per cell]
Pa: 0.0000 0.5000 0.5000 [1 per cell]
Pa: 0.5000 0.0000 0.5000 [1 per cell]
Sb: 0.2487 0.0000 0.7438 [2 per cell]
Sb: 0.2531 0.5000 0.2565 [2 per cell]

The records above give, respectively, energy relative to the elements, uncorrected values of -0.83, -0.77, -0.16, -0.77 eV per atom.
The records above give, respectively, total moment values of 1.77, 14.44, 0.46, 2.65 Bohr magnetons per cell.